No. 1
4
Lattice="1.3681 0.7899 7.7999 -1.3681 0.7899 7.7999 0.0000 -1.5798 7.7999" Properties=species:S:1:pos:R:3 comment="CrSi2Ir (meta-GGA SCAN, single point on PBEsol structure)" e_form_raw_ev_per_atom=-0.239 pbc="T T T"
Cr 0.0000 0.0000 0.0000
Si 0.0000 0.0000 5.9025
Si 0.0000 0.0000 17.4972
Ir 0.0000 0.0000 11.6999

---

No. 2
5
Lattice="4.9915 0.0000 0.0000 0.0000 4.9915 0.0000 0.0000 0.0000 4.9915" Properties=species:S:1:pos:R:3 comment="Ag3PtPb (meta-GGA SCAN, single point on PBEsol structure)" formation_enthalpy_0k_ev_per_fu=3.057 e_above_lowest_polymorph_kj_per_mol_fu=0 pbc="T T T"
Ag 0.0000 0.0000 2.4958
Ag 0.0000 2.4958 0.0000
Ag 2.4958 0.0000 0.0000
Pt 0.0000 0.0000 0.0000
Pb 2.4958 2.4958 2.4958